# CsCrPO2 GGA+U relaxed
# Crystal system ... tetragonal
# Total moment ... 2.9 μB/f.u.
# DOS at the Fermi energy ... 0.58 states/eV per atom
# E_tot ... -3.829 eV per atom
# Distance to the lowest polymorph of the same formula ... 1.210 eV per atom
data_CsCrPO2
_symmetry_space_group_name_H-M 'P 4/m m m'
_symmetry_Int_Tables_number 123
_symmetry_space_group_name_Hall '-P 4 2'
_cell_length_a 4.1988
_cell_length_b 4.1988
_cell_length_c 7.1796
_cell_angle_alpha 90.00
_cell_angle_beta 90.00
_cell_angle_gamma 90.00
loop_
_atom_site_label
_atom_site_fract_x
_atom_site_fract_y
_atom_site_fract_z
_atom_site_occupancy
Cs1 0.0000 0.0000 0.0000 1
Cr1 0.5000 0.5000 0.5000 1
P1 0.0000 0.0000 0.5000 1
O1 0.0000 0.5000 0.0000 1